(1)
{"formula": "TlCuPb2", "functional": "PBE", "state": "optimized geometry", "m_tot_mub_per_fu": 0.00, "formation_energy_ev_per_atom": 0.1587, "sg": "P4mm", "energy_ha_per_atom": -0.12168, "n_ef_per_ev_fu": 1.2, "cell": [[3.4291, 0.0000, 0.0000], [0.0000, 3.4291, 0.0000], [0.0000, 0.0000, 8.8386]], "species": ["Cu", "Pb", "Pb", "Tl"], "frac_coords": [[0.5000, 0.5000, 0.7522], [0.0000, 0.0000, 0.9471], [0.5000, 0.5000, 0.2506], [0.0000, 0.0000, 0.5502]]}

(2)
{"formula": "LaZrPt", "functional": "PBE", "state": "optimized geometry", "m_tot_mub_per_fu": 0.00, "formation_energy_ev_per_atom": 0.2608, "sg": "F-43m", "energy_ha_per_atom": -0.22949, "n_ef_per_ev_fu": 3.6, "cell": [[-3.8547, 2.1303, 1.7230], [-0.4737, 0.6197, 4.6644], [0.3253, 4.3384, 1.8541]], "species": ["La", "Pt", "Zr"], "frac_coords": [[0.7500, 0.7500, 0.7500], [0.0000, 0.0000, 0.0000], [0.5000, 0.5000, 0.5000]]}

(3)
{"formula": "Tl2H6RhAu", "functional": "PBE", "state": "optimized geometry", "m_tot_mub_per_fu": 0.00, "sg": "C2/m", "energy_ha_per_atom": -0.12655, "n_ef_per_ev_fu": 0.4, "cell": [[-4.8658, -0.5956, -1.0563], [1.1987, -1.8563, -4.5017], [-1.7024, -5.9092, -0.8345]], "species": ["Tl", "Tl", "H", "H", "H", "H", "H", "H", "Rh", "Au"], "frac_coords": [[0.7500, 0.2500, 0.5000], [0.2500, 0.7500, 0.5000], [0.1653, 0.1653, 0.6689], [0.7527, 0.7527, 0.0006], [0.2472, 0.7528, 0.0000], [0.7528, 0.2472, 0.0000], [0.2473, 0.2473, 0.9994], [0.8347, 0.8347, 0.3311], [0.0000, 0.0000, 0.0000], [0.5000, 0.5000, 0.0000]]}

(4)
{"formula": "ScTa2Os4", "functional": "PBE", "state": "optimized geometry", "m_tot_mub_per_fu": 0.00, "formation_energy_ev_per_atom": 1.4342, "sg": "I4/mmm", "energy_ha_per_atom": -0.34080, "n_ef_per_ev_fu": 7.6, "cell": [[4.5649, 0.0000, 0.0000], [0.0000, 4.5649, 0.0000], [2.2825, 2.2825, 6.5114]], "species": ["Sc", "Os", "Os", "Os", "Os", "Ta", "Ta"], "frac_coords": [[0.0000, 0.0000, 0.0000], [0.8063, 0.8063, 0.3874], [0.1937, 0.1937, 0.6126], [0.0000, 0.5000, 0.0000], [0.5000, 0.0000, 0.0000], [0.6246, 0.6246, 0.7508], [0.3754, 0.3754, 0.2492]]}

(5)
{"formula": "YZr2Br", "functional": "PBE", "state": "optimized geometry", "raw_formation_energy_ev_per_atom": 0.2273, "m_tot_mub_per_fu": 0.00, "sg": "P4/mmm", "energy_ha_per_atom": -0.22347, "n_ef_per_ev_fu": 4.7, "cell": [[-4.6444, -1.3801, 2.5205], [2.8696, -1.9755, 4.2061], [-0.0923, 2.9904, 1.4675]], "species": ["Y", "Br", "Zr", "Zr"], "frac_coords": [[0.0000, 0.5000, 0.5000], [0.5000, 0.0000, 0.5000], [0.0000, 0.0000, 0.0000], [0.5000, 0.5000, 0.0000]]}

(6)
{"formula": "Pm4PuN4", "functional": "PBE", "state": "optimized geometry", "raw_formation_energy_ev_per_atom": -0.7326, "m_tot_mub_per_fu": 7.74, "sg": "I-42m", "energy_ha_per_atom": -0.29901, "n_ef_per_ev_fu": 9.0, "cell": [[-5.0595, -2.6943, 0.7629], [2.7671, -4.5689, 2.2155], [0.7278, 5.8758, 3.6616]], "species": ["Pm", "Pm", "Pm", "Pm", "Pu", "N", "N", "N", "N"], "frac_coords": [[0.5000, 0.0000, 0.0000], [0.0000, 0.5000, 0.0000], [0.2790, 0.2790, 0.5581], [0.7210, 0.7210, 0.4419], [0.0000, 0.0000, 0.0000], [0.6388, 0.6388, 0.7499], [0.3612, 0.8889, 0.2501], [0.1111, 0.1111, 0.7499], [0.8889, 0.3612, 0.2501]]}

(7)
{"formula": "Cd2MoCl", "functional": "PBE", "state": "optimized geometry", "raw_formation_energy_ev_per_atom": 0.3194, "m_tot_mub_per_fu": 0.00, "sg": "Amm2", "energy_ha_per_atom": -0.12155, "n_ef_per_ev_fu": 2.8, "cell": [[-2.7013, 3.3207, -1.2588], [-2.1436, -2.0769, -0.8788], [-3.2934, -0.9096, 4.6681]], "species": ["Cd", "Cd", "Cl", "Mo"], "frac_coords": [[0.0000, 0.9512, 0.9726], [0.5000, 0.3049, 0.2644], [0.0000, 0.6766, 0.5223], [0.5000, 0.5673, 0.7407]]}

(8)
{"formula": "AcIn2Pd", "functional": "PBE", "state": "optimized geometry", "m_tot_mub_per_fu": 0.00, "formation_energy_ev_per_atom": -0.4248, "sg": "P4/mmm", "energy_ha_per_atom": -0.15138, "n_ef_per_ev_fu": 2.2, "cell": [[-0.0659, 3.1817, -1.6315], [-3.2164, 0.6601, 1.4173], [3.4297, 3.2789, 6.2561]], "species": ["Ac", "Pd", "In", "In"], "frac_coords": [[0.5000, 0.5000, 0.5000], [0.5000, 0.5000, 0.0000], [0.0000, 0.0000, 0.8100], [0.0000, 0.0000, 0.1900]]}